! TmGeBi, relaxed, DFT GGA-PBE; values from VASP
! ρ, g cm⁻³: 8.04
! E_tot, eV/cell: -12.9
! Crystal system: cubic
&SYSTEM
  ibrav = 0, nat = 3, ntyp = 3
/
ATOMIC_SPECIES
Bi 208.98 Bi.upf
Ge 72.64 Ge.upf
Tm 168.93 Tm.upf
CELL_PARAMETERS angstrom
-4.920 -1.192 0.500
-2.033 -0.520 4.634
-3.293 3.467 1.736
ATOMIC_POSITIONS angstrom
Bi 0.000 0.000 0.000
Ge -2.561 0.439 1.717
Tm -7.684 1.316 5.152

***

! La2NdAlBr3, relaxed, DFT GGA-PBE; values from VASP
! ρ, g cm⁻³: 4.99
! E_tot, eV/cell: -32.3
! Crystal system: tetragonal
&SYSTEM
  ibrav = 0, nat = 7, ntyp = 4
/
ATOMIC_SPECIES
Al 26.98 Al.upf
Br 79.90 Br.upf
La 138.91 La.upf
Nd 144.24 Nd.upf
CELL_PARAMETERS angstrom
-2.320 -3.184 4.691
5.434 0.197 2.822
-1.611 5.208 2.738
ATOMIC_POSITIONS angstrom
Al -0.806 2.604 1.369
Br -1.160 -1.592 2.346
Br 2.717 0.099 1.411
Br 0.751 1.111 5.126
La -1.966 1.012 3.715
La 1.912 2.703 2.780
Nd 0.000 0.000 0.000